# 1
Compound: DyZrNbN3
Source: Alexandria
Functional: PBE
Structure: optimized geometry

Cell lengths 5.6483, 3.2635, 8.4349 Å; angles 90.00, 102.71, 90.00 degrees
Space group P2_1/m (No. 11)
Unique sites:
Dy  0.1472  0.2500  0.1899
Zr  0.2671  0.7500  0.5493
Nb  0.3753  0.2500  0.8681
N  0.0570  0.2500  0.6623
N  0.2400  0.7500  0.9928
N  0.4574  0.7500  0.3423

Properties
N(E_F) = 4.4 states/eV/cell
Calculated total energy = -9.524 eV per atom
Crystal system = monoclinic
Formation energy without anion corrections = -1.49 eV per atom
Total magnetic moment = 0.000 μB per formula unit

---

# 2
Compound: NdDy5N6
Source: Alexandria
Functional: PBE
Structure: optimized geometry

Cell lengths 6.0720, 10.5169, 6.0697 Å; angles 90.00, 109.47, 90.00 degrees
Space group C2/m (No. 12)
Unique sites:
Nd  0.0000  0.0000  0.0000
Dy  0.0000  0.1678  0.5000
Dy  0.0000  0.3335  0.0000
Dy  0.0000  0.5000  0.5000
N  0.2439  0.5000  0.2534
N  0.2453  0.3298  0.7464

Properties
N(E_F) = 0.7 states/eV/cell
Calculated total energy = -8.112 eV per atom
Crystal system = monoclinic
Formation energy without anion corrections = -1.63 eV per atom
Total magnetic moment = 0.000 μB per formula unit

---

# 3
Compound: Nd2Dy3N4
Source: Alexandria
Functional: PBE
Structure: optimized geometry

Cell lengths 11.7742, 3.5213, 8.7875 Å; angles 90.00, 118.92, 90.00 degrees
Space group C2/m (No. 12)
Unique sites:
Nd  0.1036  0.0000  0.3862
Dy  0.0000  0.5000  0.0000
Dy  0.2092  0.5000  0.8175
N  0.1060  0.0000  0.9090
N  0.1979  0.5000  0.2911

Properties
N(E_F) = 8.9 states/eV/cell
Calculated total energy = -7.677 eV per atom
Crystal system = monoclinic
Formation energy without anion corrections = -1.38 eV per atom
Total magnetic moment = 0.125 μB per formula unit

---

# 4
Compound: Nd5DyN4
Source: Alexandria
Functional: PBE
Structure: optimized geometry

Cell lengths 15.7960, 3.5923, 7.4424 Å; angles 90.00, 102.96, 90.00 degrees
Space group C2/m (No. 12)
Unique sites:
Nd  0.0000  0.0000  0.0000
Nd  0.1573  0.5000  0.8046
Nd  0.1632  0.5000  0.3482
Dy  0.0000  0.0000  0.5000
N  0.0007  0.5000  0.7382
N  0.1620  0.0000  0.5798

Properties
N(E_F) = 9.6 states/eV/cell
Calculated total energy = -7.291 eV per atom
Crystal system = monoclinic
Formation energy without anion corrections = -1.12 eV per atom
Total magnetic moment = 0.000 μB per formula unit

---

# 5
Compound: Nd2Dy4N
Source: Alexandria
Functional: PBE
Structure: optimized geometry

Cell lengths 4.8030, 4.8030, 17.8773 Å; angles 90.00, 90.00, 90.00 degrees
Space group I4/mmm (No. 139)
Unique sites:
Nd  0.0000  0.0000  0.1731
Dy  0.0000  0.0000  0.3694
Dy  0.0000  0.5000  0.0000
N  0.0000  0.0000  0.5000

Properties
N(E_F) = 15.2 states/eV/cell
Calculated total energy = -5.474 eV per atom
Crystal system = tetragonal
Formation energy without anion corrections = -0.29 eV per atom
Total magnetic moment = 0.000 μB per formula unit

---

# 6
Compound: Nd2DyN3
Source: Alexandria
Functional: PBE
Structure: optimized geometry

Cell lengths 3.5991, 3.5991, 15.2655 Å; angles 90.00, 90.00, 90.00 degrees
Space group I4/mmm (No. 139)
Unique sites:
Nd  0.0000  0.0000  0.1637
Dy  0.0000  0.0000  0.5000
N  0.0000  0.0000  0.0000
N  0.0000  0.0000  0.3391

Properties
N(E_F) = 1.5 states/eV/cell
Calculated total energy = -7.967 eV per atom
Crystal system = tetragonal
Formation energy without anion corrections = -1.45 eV per atom
Total magnetic moment = 0.000 μB per formula unit

---

# 7
Compound: NdDy4N5
Source: Alexandria
Functional: PBE
Structure: optimized geometry

Cell lengths 3.5147, 3.5147, 24.8298 Å; angles 90.00, 90.00, 90.00 degrees
Space group I4/mmm (No. 139)
Unique sites:
Nd  0.0000  0.0000  0.0000
Dy  0.0000  0.0000  0.2008
Dy  0.0000  0.0000  0.3972
N  0.0000  0.0000  0.1035
N  0.0000  0.0000  0.2996
N  0.0000  0.0000  0.5000

Properties
N(E_F) = 1.6 states/eV/cell
Calculated total energy = -8.096 eV per atom
Crystal system = tetragonal
Formation energy without anion corrections = -1.62 eV per atom
Total magnetic moment = 0.000 μB per formula unit

---

# 8
Compound: Nd4DyN5
Source: Alexandria
Functional: PBE
Structure: optimized geometry

Cell lengths 8.0645, 8.0645, 5.1639 Å; angles 90.00, 90.00, 90.00 degrees
Space group I4 (No. 79)
Unique sites:
Nd  0.1008  0.2988  0.0000
Dy  0.0000  0.0000  0.4941
N  0.0000  0.0000  0.0338
N  0.0978  0.2931  0.5171

Properties
N(E_F) = 1.8 states/eV/cell
Calculated total energy = -7.944 eV per atom
Crystal system = tetragonal
Formation energy without anion corrections = -1.41 eV per atom
Total magnetic moment = 0.000 μB per formula unit

---

# 9
Compound: Nd2DyNpN4
Source: Alexandria
Functional: PBE
Structure: optimized geometry

Cell lengths 6.0780, 3.5399, 6.1493 Å; angles 90.00, 108.81, 90.00 degrees
Space group P2/m (No. 10)
Unique sites:
Nd  0.0000  0.0000  0.0000
Nd  0.5000  0.5000  0.0000
Dy  0.0000  0.5000  0.5000
Np  0.5000  0.0000  0.5000
N  0.2597  0.0000  0.7211
N  0.2671  0.5000  0.2778

Properties
N(E_F) = 5.7 states/eV/cell
Calculated total energy = -8.952 eV per atom
Crystal system = monoclinic
Formation energy without anion corrections = -1.40 eV per atom
Total magnetic moment = 2.729 μB per formula unit

---

# 10
Compound: Nd3Dy2NpN6
Source: Alexandria
Functional: PBE
Structure: optimized geometry

Cell lengths 6.1062, 10.5739, 6.1666 Å; angles 90.00, 109.28, 90.00 degrees
Space group C2/m (No. 12)
Unique sites:
Nd  0.0000  0.0000  0.0000
Nd  0.0000  0.3317  0.0000
Dy  0.0000  0.1664  0.5000
Np  0.0000  0.5000  0.5000
N  0.2308  0.3435  0.7226
N  0.2384  0.5000  0.2749

Properties
N(E_F) = 11.4 states/eV/cell
Calculated total energy = -8.660 eV per atom
Crystal system = monoclinic
Formation energy without anion corrections = -1.46 eV per atom
Total magnetic moment = 2.263 μB per formula unit

---

# 11
Compound: NdDy2NpN4
Source: Alexandria
Functional: PBE
Structure: optimized geometry

Cell lengths 3.4235, 13.1369, 10.9789 Å; angles 90.00, 90.00, 90.00 degrees
Space group Cmcm (No. 63)
Unique sites:
Nd  0.0000  0.2318  0.2500
Dy  0.0000  0.3722  0.5132
Np  0.0000  0.0354  0.7500
N  0.0000  0.0000  0.0000
N  0.0000  0.2012  0.6117
N  0.0000  0.4235  0.7500

Properties
N(E_F) = 32.4 states/eV/cell
Calculated total energy = -8.737 eV per atom
Crystal system = orthorhombic
Formation energy without anion corrections = -1.21 eV per atom
Total magnetic moment = 3.945 μB per formula unit

---

# 12
Compound: NdDyNO
Source: Alexandria
Functional: PBE
Structure: optimized geometry

Cell lengths 3.2152, 3.2270, 12.0019 Å; angles 90.00, 90.00, 90.00 degrees
Space group Imm2 (No. 44)
Unique sites:
Nd  0.0000  0.0000  0.0000
Dy  0.0000  0.5000  0.2566
N  0.0000  0.5000  0.8400
O  0.0000  0.0000  0.6034

Properties
N(E_F) = 3.5 states/eV/cell
Calculated total energy = -7.485 eV per atom
Crystal system = orthorhombic
Formation energy without anion corrections = -1.82 eV per atom
Total magnetic moment = 0.001 μB per formula unit

---

Copy entry 7 word for word.
Compound: NdDy4N5
Source: Alexandria
Functional: PBE
Structure: optimized geometry

Cell lengths 3.5147, 3.5147, 24.8298 Å; angles 90.00, 90.00, 90.00 degrees
Space group I4/mmm (No. 139)
Unique sites:
Nd  0.0000  0.0000  0.0000
Dy  0.0000  0.0000  0.2008
Dy  0.0000  0.0000  0.3972
N  0.0000  0.0000  0.1035
N  0.0000  0.0000  0.2996
N  0.0000  0.0000  0.5000

Properties
N(E_F) = 1.6 states/eV/cell
Calculated total energy = -8.096 eV per atom
Crystal system = tetragonal
Formation energy without anion corrections = -1.62 eV per atom
Total magnetic moment = 0.000 μB per formula unit

---

> What is the formula in the ninth record?

Nd2DyNpN4

---

> Among the records above, which one has the lowest N(E_F)?

NdDy5N6